# FeAg

FeAg after structural relaxation (PBE-GGA, Alexandria).

Structure (CIF):
```
data_FeAg
_chemical_formula_sum 'Fe4 Ag4'
_cell_length_a 4.238
_cell_length_b 4.238
_cell_length_c 8.172
_cell_angle_alpha 90.00
_cell_angle_beta 90.00
_cell_angle_gamma 120.00
_symmetry_space_group_name_H-M 'P 1'
_symmetry_Int_Tables_number 1
loop_
_symmetry_equiv_pos_as_xyz
'x,y,z'
loop_
_atom_site_label
_atom_site_type_symbol
_atom_site_fract_x
_atom_site_fract_y
_atom_site_fract_z
Ag1 Ag 0.667 0.333 0.081
Ag2 Ag 0.333 0.667 0.581
Ag3 Ag 0.667 0.333 0.419
Ag4 Ag 0.333 0.667 0.919
Fe1 Fe 0.000 0.000 0.750
Fe2 Fe 0.667 0.333 0.750
Fe3 Fe 0.000 0.000 0.250
Fe4 Fe 0.333 0.667 0.250
```

## Properties
Formation energy from the elements, eV per atom: 0.5429
SG: P6_3/mmc